1:
Entry from Alexandria: an optimized crystal structure of NbTeAs2Se (PBE).

a = 5.157 Å, b = 5.157 Å, c = 5.151 Å
α = 90.00°, β = 90.00°, γ = 90.00°
Fractional positions:
Nb1 0.000 0.000 0.000
Te1 0.500 0.500 0.500
As1 0.000 0.500 0.500
As2 0.500 0.000 0.500
Se1 0.500 0.500 0.000

---

2:
Entry from Alexandria: an optimized crystal structure of NbTeAs2Se (PBE).

a = 5.137 Å, b = 5.137 Å, c = 4.866 Å
α = 90.00°, β = 90.00°, γ = 90.00°
Fractional positions:
Nb1 0.000 0.000 0.000
Te1 0.500 0.500 0.500
As1 0.000 0.500 0.000
As2 0.500 0.000 0.000
Se1 0.000 0.000 0.500

---

In terms of stability, 2 leads; the second structure lies 1.139 eV/atom higher.

---

1:
Entry from Alexandria: an optimized crystal structure of NbVAs2Se (PBE).

a = 4.694 Å, b = 4.694 Å, c = 4.817 Å
α = 90.00°, β = 90.00°, γ = 90.00°
Fractional positions:
Nb1 0.000 0.000 0.000
V1 0.500 0.500 0.500
As1 0.000 0.500 0.500
As2 0.500 0.000 0.500
Se1 0.500 0.500 0.000

---

2:
Entry from Alexandria: an optimized crystal structure of NbVAs2Se (PBE).

a = 4.986 Å, b = 4.986 Å, c = 4.974 Å
α = 90.00°, β = 90.00°, γ = 90.00°
Fractional positions:
Nb1 0.000 0.000 0.000
V1 0.500 0.500 0.500
As1 0.000 0.500 0.000
As2 0.500 0.000 0.000
Se1 0.000 0.000 0.500

---

In terms of stability, 1 leads; the second structure lies 0.246 eV/atom higher.